This record from Alexandria via LeMat-Bulk describes a crystal of La2Tl3Pb3 relaxed with PBEsol. The functional is SCAN.

Summary:
Its calculated formation energy is -0.574 eV/atom. Its space group is Pmmm (47).

a b c (Å): 4.771 4.834 9.716
angles (deg): 90.00 90.00 90.00
Fractional positions:
La1 0.000 0.000 0.247
La2 0.000 0.000 0.753
Tl1 0.000 0.500 0.000
Tl2 0.000 0.500 0.500
Tl3 0.500 0.000 0.500
Pb1 0.500 0.000 0.000
Pb2 0.500 0.500 0.251
Pb3 0.500 0.500 0.749

=====

This record from Alexandria via LeMat-Bulk describes a crystal of Tl3SbPd relaxed with PBEsol. The functional is SCAN.

Summary:
The calculation puts the uncorrected energy at -57.31 eV/atom. Its space group is Pm-3m (221).

a b c (Å): 5.237 5.237 5.237
angles (deg): 90.00 90.00 90.00
Fractional positions:
Tl1 0.000 0.000 0.500
Tl2 0.000 0.500 0.000
Tl3 0.500 0.000 0.000
Sb1 0.500 0.500 0.500
Pd1 0.000 0.000 0.000

=====

This record from Alexandria via LeMat-Bulk describes a crystal of KTl3 relaxed with PBEsol. The functional is SCAN.

Summary:
Its calculated formation energy is -0.099 eV/atom. Its space group is Immm (71).

a b c (Å): 6.353 6.353 6.353
angles (deg): 141.46 129.17 65.55
Fractional positions:
K1 0.000 0.000 0.000
Tl1 0.265 0.765 0.500
Tl2 0.500 0.500 0.000
Tl3 0.735 0.235 0.500

=====

no.,spin magnetization (Bohr magnetons per cell)
1,0.0
2,0.6
3,0.0